Entry 1:
A plane-wave DFT calculation with GGA-PBEsol was carried out for an optimized crystal structure of ReIrPdPb2.

POSCAR file:
```
ReIrPdPb2
1.0
-4.226 -2.053 0.657
2.257 -4.625 0.062
0.613 0.368 5.097
Pb Re Ir Pd
2 1 1 1
Direct
0.000 0.000 0.500 Pb
0.000 0.500 0.000 Pb
0.500 0.000 0.000 Re
0.000 0.000 0.000 Ir
0.500 0.500 0.500 Pd
```

## Properties
VASP energy: -29.85 eV for the cell shown
energy of formation from the pure elements: 1.451 eV per atom
space group: P4/mmm, No. 123
spin magnetization: 0.310 μB/atom
volume: 125.7 Å³ per cell
D(E_F): 5.72 states/eV per cell

Entry 2:
A plane-wave DFT calculation with GGA-PBEsol was carried out for an optimized crystal structure of ReNiN2.

POSCAR file:
```
ReNiN2
1.0
-0.569 -2.828 3.339
3.215 -2.555 -1.616
1.709 4.963 1.579
Re N Ni
2 4 2
Direct
0.250 0.750 0.500 Re
0.000 0.000 0.000 Re
0.373 0.875 0.250 N
0.877 0.375 0.250 N
0.125 0.123 0.750 N
0.625 0.627 0.750 N
0.750 0.250 0.500 Ni
0.500 0.500 0.000 Ni
```

## Properties
VASP energy: -72.56 eV for the cell shown
space group: I-42d, No. 122
spin magnetization: 0.000 μB/atom
volume: 87.8 Å³ per cell
raw formation energy: 0.26 eV/f.u.
D(E_F): 5.07 states/eV per cell

Entry 3:
A plane-wave DFT calculation with GGA-PBEsol was carried out for an optimized crystal structure of LiCa2Pt.

POSCAR file:
```
LiCa2Pt
1.0
3.539 0.000 0.018
0.000 3.532 0.000
-0.044 0.000 8.016
Ca Pt Li
2 1 1
Direct
0.000 0.000 0.702 Ca
0.000 0.000 0.298 Ca
0.500 0.500 0.500 Pt
0.500 0.500 0.000 Li
```

## Properties
VASP energy: -15.01 eV for the cell shown
energy of formation from the pure elements: -0.454 eV per atom
space group: P4/mmm, No. 123
spin magnetization: 0.000 μB/atom
volume: 100.2 Å³ per cell
D(E_F): 2.79 states/eV per cell

Entry 4:
A plane-wave DFT calculation with GGA-PBEsol was carried out for an optimized crystal structure of NaGaTe2.

POSCAR file:
```
NaGaTe2
1.0
6.637 0.014 0.000
-3.219 5.805 0.000
-1.709 -2.909 5.716
Na Te Ga
2 4 2
Direct
0.750 0.750 0.000 Na
0.250 0.250 0.000 Na
0.821 0.679 0.500 Te
0.321 0.821 0.142 Te
0.679 0.179 0.858 Te
0.179 0.321 0.500 Te
0.250 0.750 0.500 Ga
0.750 0.250 0.500 Ga
```

## Properties
VASP energy: -28.12 eV for the cell shown
space group: I4/mcm, No. 140
spin magnetization: 0.000 μB/atom
volume: 220.5 Å³ per cell
raw formation energy: -2.27 eV/f.u.
D(E_F): 0.32 states/eV per cell

Entry 5:
A plane-wave DFT calculation with GGA-PBEsol was carried out for an optimized crystal structure of SiAsP.

POSCAR file:
```
SiAsP
1.0
-1.639 -2.528 -1.389
1.808 0.345 -2.760
3.114 -1.927 3.792
P As Si
1 1 1
Direct
0.719 0.719 0.439 P
0.969 0.969 0.939 As
0.311 0.311 0.622 Si
```

## Properties
VASP energy: -15.67 eV for the cell shown
space group: I4mm, No. 107
spin magnetization: 0.000 μB/atom
volume: 52.0 Å³ per cell
raw formation energy: 0.98 eV/f.u.
D(E_F): 0.85 states/eV per cell

Entry 6:
A plane-wave DFT calculation with GGA-PBEsol was carried out for an optimized crystal structure of SnGePBr2.

POSCAR file:
```
SnGePBr2
1.0
4.855 0.000 0.000
0.000 5.144 0.000
0.000 0.000 5.144
P Ge Sn Br
1 1 1 2
Direct
0.500 0.000 0.000 P
0.000 0.000 0.000 Ge
0.500 0.500 0.500 Sn
0.000 0.000 0.500 Br
0.000 0.500 0.000 Br
```

## Properties
VASP energy: -17.72 eV for the cell shown
space group: P4/mmm, No. 123
spin magnetization: 0.000 μB/atom
volume: 128.4 Å³ per cell
raw formation energy: 1.01 eV/f.u.
D(E_F): 3.12 states/eV per cell

Entry 7:
A plane-wave DFT calculation with GGA-PBEsol was carried out for an optimized crystal structure of Sr2LiRh.

POSCAR file:
```
Sr2LiRh
1.0
4.353 0.000 0.000
0.000 4.410 0.000
-2.177 0.000 5.692
Sr Rh Li
2 1 1
Direct
0.115 0.000 0.230 Sr
0.392 0.500 0.785 Sr
0.693 0.500 0.386 Rh
0.802 0.000 0.604 Li
```

## Properties
VASP energy: -14.06 eV for the cell shown
energy of formation from the pure elements: -0.068 eV per atom
space group: Amm2, No. 38
spin magnetization: 0.000 μB/atom
volume: 109.3 Å³ per cell
D(E_F): 1.62 states/eV per cell

Entry 8:
A plane-wave DFT calculation with GGA-PBEsol was carried out for an optimized crystal structure of OsRu.

POSCAR file:
```
OsRu
1.0
2.706 0.000 0.000
0.000 4.282 0.000
0.000 0.000 4.697
Ru Os
2 2
Direct
0.500 0.750 0.166 Ru
0.500 0.250 0.834 Ru
0.000 0.250 0.334 Os
0.000 0.750 0.666 Os
```

## Properties
VASP energy: -44.83 eV for the cell shown
energy of formation from the pure elements: -0.015 eV per atom
space group: Pmma, No. 51
spin magnetization: 0.000 μB/atom
volume: 54.4 Å³ per cell
D(E_F): 2.81 states/eV per cell

Entry 9:
A plane-wave DFT calculation with GGA-PBEsol was carried out for an optimized crystal structure of NbTlGaCo2.

POSCAR file:
```
NbTlGaCo2
1.0
-1.894 -3.132 2.809
0.370 -3.193 -3.310
4.693 -1.269 1.748
Tl Co Nb Ga
1 2 1 1
Direct
0.000 0.000 0.000 Tl
0.000 0.500 0.000 Co
0.500 0.000 0.000 Co
0.000 0.000 0.500 Nb
0.500 0.500 0.500 Ga
```

## Properties
VASP energy: -23.31 eV for the cell shown
energy of formation from the pure elements: 1.792 eV per atom
space group: P4/mmm, No. 123
spin magnetization: 0.782 μB/atom
volume: 110.0 Å³ per cell
D(E_F): 7.50 states/eV per cell

Entry 10:
A plane-wave DFT calculation with GGA-PBEsol was carried out for an optimized crystal structure of FeSbTe2I.

POSCAR file:
```
FeSbTe2I
1.0
5.680 0.000 0.000
0.000 5.680 0.000
0.000 0.000 5.735
I Sb Te Fe
1 1 2 1
Direct
0.000 0.000 0.500 I
0.000 0.000 0.000 Sb
0.000 0.500 0.000 Te
0.500 0.000 0.000 Te
0.500 0.500 0.500 Fe
```

## Properties
VASP energy: -17.01 eV for the cell shown
space group: P4/mmm, No. 123
spin magnetization: 0.799 μB/atom
volume: 185.1 Å³ per cell
raw formation energy: 5.33 eV/f.u.
D(E_F): 9.19 states/eV per cell

Entry 11:
A plane-wave DFT calculation with GGA-PBEsol was carried out for an optimized crystal structure of Ni2MoRh.

POSCAR file:
```
Ni2MoRh
1.0
3.636 0.000 0.000
0.000 3.636 0.000
-1.818 -1.818 3.720
Ni Mo Rh
2 1 1
Direct
0.000 0.000 0.000 Ni
0.250 0.750 0.500 Ni
0.750 0.250 0.500 Mo
0.500 0.500 0.000 Rh
```

## Properties
VASP energy: -32.82 eV for the cell shown
energy of formation from the pure elements: -0.150 eV per atom
energy above the lowest structure with this stoichiometry: 0.000 eV per atom
space group: I-4m2, No. 119
spin magnetization: 0.000 μB/atom
volume: 49.2 Å³ per cell
D(E_F): 3.44 states/eV per cell

Entry 12:
A plane-wave DFT calculation with GGA-PBEsol was carried out for an optimized crystal structure of NaY2Au2.

POSCAR file:
```
NaY2Au2
1.0
3.661 0.000 0.000
0.000 8.067 0.000
0.000 0.000 8.067
Y Na Au
4 2 4
Direct
0.500 0.158 0.658 Y
0.500 0.658 0.842 Y
0.500 0.842 0.342 Y
0.500 0.342 0.158 Y
0.000 0.000 0.000 Na
0.000 0.500 0.500 Na
0.000 0.365 0.865 Au
0.000 0.865 0.635 Au
0.000 0.635 0.135 Au
0.000 0.135 0.365 Au
```

## Properties
VASP energy: -52.01 eV for the cell shown
energy of formation from the pure elements: -0.623 eV per atom
energy above the lowest structure with this stoichiometry: 0.000 eV per atom
space group: P4/mbm, No. 127
spin magnetization: 0.000 μB/atom
volume: 238.3 Å³ per cell
D(E_F): 7.53 states/eV per cell